Record 1
Computed, not measured: a relaxed structure of Sc2Si2Tc at the GGA-PBEsol level of DFT.

* total magnetic moment: 0.00 μB/f.u.
* ρ: 5.00 g cm⁻³
* raw formation energy: -0.82 eV per atom

Cell lengths 6.501, 6.501, 3.839 Å; angles 90.00, 90.00, 90.00 degrees
Space group P4/mbm (No. 127)
Asymmetric unit:
Sc  0.175  0.325  0.000 [4 per cell]
Si  0.130  0.630  0.500 [4 per cell]
Tc  0.000  0.000  0.500 [2 per cell]



Record 2
Computed, not measured: a relaxed structure of MgOsRu at the GGA-PBEsol level of DFT.

* total magnetic moment: 0.00 μB/f.u.
* formation enthalpy at 0 K: 0.24 eV/atom
* ρ: 12.02 g cm⁻³
* offset from the most stable computed form: 131 meV/atom

Cell lengths 2.781, 3.734, 8.395 Å; angles 90.00, 90.00, 90.00 degrees
Space group Imm2 (No. 44)
Asymmetric unit:
Mg  0.000  0.000  0.000 [2 per cell]
Os  0.000  0.000  0.679 [2 per cell]
Ru  0.000  0.000  0.322 [2 per cell]



Look up the total magnetic moment of the first one. 0.00 μB/f.u.